{"formula": "MgHIr3", "functional": "PBE", "state": "relaxed", "cell": [[2.790, 0.000, 0.000], [0.000, 2.813, 3.942], [0.000, -2.813, 3.942]], "species": ["Mg", "H", "Ir", "Ir", "Ir"], "fractional_positions": [[0.000, 0.000, 0.000], [0.000, 0.278, 0.278], [0.000, 0.522, 0.522], [0.500, 0.005, 0.508], [0.500, 0.508, 0.005]], "polymorph_energy_mev_per_atom": 0.0, "total_energy_ev_per_atom": -6.408, "vol_a3_per_fu": 61.87, "m_tot_mub_per_cell": 0.00, "crystal_system": "orthorhombic", "dos_ef_per_ev_atom": 0.661, "spacegroup": "No. 38"}